1.
# Li3ThBr8 | Alexandria via LeMat-Bulk | PBE | relaxed
data_Li3ThBr8
_space_group_name_H-M_alt 'P 1'
_space_group_IT_number 1
_cell_length_a 7.9264
_cell_length_b 8.1972
_cell_length_c 8.2008
_cell_angle_alpha 60.30
_cell_angle_beta 61.93
_cell_angle_gamma 61.38
loop_
_space_group_symop_operation_xyz
'x,y,z'
loop_
_atom_site_label
_atom_site_type_symbol
_atom_site_fract_x
_atom_site_fract_y
_atom_site_fract_z
_atom_site_occupancy
Li1 Li 0.0000 0.0000 0.0000 1
Li2 Li 0.0000 0.0000 0.5000 1
Li3 Li 0.0000 0.5000 0.0000 1
Th1 Th 0.0000 0.5000 0.5000 1
Br1 Br 0.1815 0.7760 0.7787 1
Br2 Br 0.2382 0.2579 0.7624 1
Br3 Br 0.2394 0.2566 0.2604 1
Br4 Br 0.2386 0.7584 0.2617 1
Br5 Br 0.7614 0.2416 0.7383 1
Br6 Br 0.7606 0.7434 0.7396 1
Br7 Br 0.7618 0.7421 0.2376 1
Br8 Br 0.8185 0.2240 0.2213 1
# Raw formation energy (eV/atom): -1.396
# E (eV/atom): -3.61

=====

2.
# ScIO5 | Alexandria via LeMat-Bulk | PBE | relaxed
data_ScIO5
_space_group_name_H-M_alt 'P 1'
_space_group_IT_number 1
_cell_length_a 5.2912
_cell_length_b 5.2912
_cell_length_c 7.5029
_cell_angle_alpha 110.83
_cell_angle_beta 110.83
_cell_angle_gamma 71.68
loop_
_space_group_symop_operation_xyz
'x,y,z'
loop_
_atom_site_label
_atom_site_type_symbol
_atom_site_fract_x
_atom_site_fract_y
_atom_site_fract_z
_atom_site_occupancy
Sc1 Sc 0.0301 0.9699 0.7500 1
Sc2 Sc 0.9699 0.0301 0.2500 1
I1 I 0.5000 0.5000 0.0000 1
I2 I 0.5000 0.5000 0.5000 1
O1 O 0.1866 0.7848 0.0314 1
O2 O 0.2152 0.8134 0.4686 1
O3 O 0.2417 0.2844 0.3758 1
O4 O 0.2844 0.2417 0.8758 1
O5 O 0.3979 0.6021 0.7500 1
O6 O 0.6021 0.3979 0.2500 1
O7 O 0.7156 0.7583 0.1242 1
O8 O 0.7583 0.7156 0.6242 1
O9 O 0.7848 0.1866 0.5314 1
O10 O 0.8134 0.2152 0.9686 1
# Raw formation energy (eV/atom): -1.324
# E (eV/atom): -5.99

=====

3.
# SrZrO2 | Alexandria via LeMat-Bulk | PBE | relaxed
data_SrZrO2
_space_group_name_H-M_alt 'P 1'
_space_group_IT_number 1
_cell_length_a 4.2167
_cell_length_b 4.2167
_cell_length_c 4.2167
_cell_angle_alpha 60.00
_cell_angle_beta 60.00
_cell_angle_gamma 60.00
loop_
_space_group_symop_operation_xyz
'x,y,z'
loop_
_atom_site_label
_atom_site_type_symbol
_atom_site_fract_x
_atom_site_fract_y
_atom_site_fract_z
_atom_site_occupancy
Sr1 Sr 0.0000 0.0000 0.0000 1
Zr1 Zr 0.5000 0.5000 0.5000 1
O1 O 0.2500 0.2500 0.2500 1
O2 O 0.7500 0.7500 0.7500 1
# Energy above the lowest structure with this stoichiometry (meV per atom): 726
# Raw formation energy (eV/atom): -1.667
# E (eV/atom): -6.70

=====

4.
# Sc2TiF | Alexandria via LeMat-Bulk | PBE | relaxed
data_Sc2TiF
_space_group_name_H-M_alt 'P 1'
_space_group_IT_number 1
_cell_length_a 8.1702
_cell_length_b 8.1702
_cell_length_c 8.1702
_cell_angle_alpha 22.39
_cell_angle_beta 22.39
_cell_angle_gamma 22.39
loop_
_space_group_symop_operation_xyz
'x,y,z'
loop_
_atom_site_label
_atom_site_type_symbol
_atom_site_fract_x
_atom_site_fract_y
_atom_site_fract_z
_atom_site_occupancy
Sc1 Sc 0.2365 0.2365 0.2365 1
Sc2 Sc 0.7635 0.7635 0.7635 1
Ti1 Ti 0.0000 0.0000 0.0000 1
F1 F 0.5000 0.5000 0.5000 1
# Energy above the lowest structure with this stoichiometry (meV per atom): 0
# Raw formation energy (eV/atom): -1.081
# E (eV/atom): -6.69

=====

no.,size of the total moment (Bohr magnetons per cell)
1,1.17
2,0.00
3,0.00
4,0.01